Record 1
The following is a PBE calculation of an optimized crystal structure of PmPr2Dy6Ho3, from Alexandria via LeMat-Bulk. Values from VASP.

The structure in Quantum ESPRESSO input format:
```
&SYSTEM
  ibrav = 0, nat = 12, ntyp = 4
/
ATOMIC_SPECIES
Ho 164.93 Ho.upf
Dy 162.50 Dy.upf
Pm 145.00 Pm.upf
Pr 140.91 Pr.upf
CELL_PARAMETERS angstrom
-2.207 -1.885 -5.474
5.581 -1.897 1.907
-6.019 -7.973 6.338
ATOMIC_POSITIONS angstrom
Ho -3.919 -5.873 -1.076
Dy 0.615 -2.984 1.944
Dy 1.007 -4.875 -1.070
Dy -3.652 -6.880 3.841
Pm 0.000 0.000 0.000
Ho -1.323 -5.878 1.385
Pr 2.985 -1.893 -0.553
Pr 0.389 -1.889 -3.014
Ho 1.274 -5.882 3.847
Dy -1.979 -2.980 -0.514
Dy -0.666 -8.775 3.285
Dy -3.260 -8.771 0.827
```

Output
Space group: No. 12
Formation energy from the elements in meV per atom: 19


Record 2
The following is a PBE calculation of an optimized crystal structure of KAgBiBr6, from Alexandria via LeMat-Bulk. Values from VASP.

The structure in Quantum ESPRESSO input format:
```
&SYSTEM
  ibrav = 0, nat = 9, ntyp = 4
/
ATOMIC_SPECIES
Bi 208.98 Bi.upf
Br 79.90 Br.upf
Ag 107.87 Ag.upf
K 39.10 K.upf
CELL_PARAMETERS angstrom
-0.058 7.279 -2.489
-4.668 4.910 2.601
4.757 2.370 4.967
ATOMIC_POSITIONS angstrom
Bi -0.668 9.285 2.472
Br -1.522 6.489 2.225
Br -0.594 9.638 -0.288
Br 3.356 4.543 2.789
Ag 0.817 5.244 2.512
K -4.591 4.893 2.548
Br 1.831 8.221 3.080
Br 0.381 4.764 5.096
Br 1.113 5.160 -0.118
```

Output
Electronic total energy in eV for the cell shown: -24.8
Space group: No. 1


Record 3
The following is a PBE calculation of an optimized crystal structure of Li2TlRu, from Alexandria via LeMat-Bulk. Values from VASP.

The structure in Quantum ESPRESSO input format:
```
&SYSTEM
  ibrav = 0, nat = 4, ntyp = 3
/
ATOMIC_SPECIES
Li 6.94 Li.upf
Tl 204.38 Tl.upf
Ru 101.07 Ru.upf
CELL_PARAMETERS angstrom
9.565 -0.015 -0.009
9.111 2.913 -0.009
9.111 1.414 2.547
ATOMIC_POSITIONS angstrom
Li 14.173 2.199 1.290
Tl 20.840 3.234 1.897
Li 27.506 4.268 2.504
Ru 6.947 1.078 0.632
```

Output
Space group: No. 166
Formation energy from the elements in meV per atom: 328